Below is a crystal of CrGa2Mo relaxed with PBEsol, with properties calculated at the meta-GGA SCAN level.

Cell lengths 4.3076, 4.3076, 4.3076 Å; angles 60.00, 60.00, 60.00 degrees
Atoms (fractional coordinates):
Cr1 0.0000 0.0000 0.0000
Mo1 0.5000 0.5000 0.5000
Ga1 0.2500 0.2500 0.2500
Ga2 0.7500 0.7500 0.7500

Results
SG: Fm-3m
Energy of formation, eV per atom: 0.046

***

Below is a crystal of Cr3GaMo relaxed with PBEsol, with properties calculated at the meta-GGA SCAN level.

Cell lengths 4.3307, 4.3307, 4.3307 Å; angles 90.00, 90.00, 90.00 degrees
Atoms (fractional coordinates):
Cr1 0.0000 0.5000 0.0000
Cr2 0.0000 0.0000 0.5000
Cr3 0.5000 0.0000 0.0000
Mo1 0.5000 0.5000 0.5000
Ga1 0.0000 0.0000 0.0000

Results
SG: Pm-3m
Energy of formation, eV per atom: 1.312
Offset from the most stable computed form, meV/atom: 5.5

***

Below is a crystal of CrGa2MoO relaxed with PBEsol, with properties calculated at the meta-GGA SCAN level.

Cell lengths 3.3422, 4.8053, 4.8053 Å; angles 90.00, 90.00, 90.00 degrees
Atoms (fractional coordinates):
Cr1 0.0000 0.0000 0.0000
Mo1 0.5000 0.5000 0.5000
O1 0.5000 0.0000 0.0000
Ga1 0.0000 0.0000 0.5000
Ga2 0.0000 0.5000 0.0000

Results
Energy relative to the elements, uncorrected, eV per atom: 0.203
SG: P4/mmm

***

Below is a crystal of CrGaN3 relaxed with PBEsol, with properties calculated at the meta-GGA SCAN level.

Cell lengths 3.7133, 3.7133, 3.7133 Å; angles 90.00, 90.00, 90.00 degrees
Atoms (fractional coordinates):
Cr1 0.0000 0.0000 0.0000
Ga1 0.5000 0.5000 0.5000
N1 0.0000 0.5000 0.0000
N2 0.0000 0.0000 0.5000
N3 0.5000 0.0000 0.0000

Results
Energy relative to the elements, uncorrected, eV per atom: 0.791
SG: Pm-3m

***

Below is a crystal of Cr2GaN relaxed with PBEsol, with properties calculated at the meta-GGA SCAN level.

Cell lengths 2.8605, 2.8605, 12.1794 Å; angles 90.00, 90.00, 120.00 degrees
Atoms (fractional coordinates):
Cr1 0.6667 0.3333 0.9186
Cr2 0.3333 0.6667 0.0814
Cr3 0.3333 0.6667 0.4186
Cr4 0.6667 0.3333 0.5814
Ga1 0.6667 0.3333 0.2500
Ga2 0.3333 0.6667 0.7500
N1 0.0000 0.0000 0.0000
N2 0.0000 0.0000 0.5000

Results
Energy relative to the elements, uncorrected, eV per atom: -0.403
SG: P6_3/mmc

***

Below is a crystal of CrGaS2N relaxed with PBEsol, with properties calculated at the meta-GGA SCAN level.

Cell lengths 3.4805, 4.6269, 4.6269 Å; angles 90.00, 90.00, 90.00 degrees
Atoms (fractional coordinates):
Cr1 0.0000 0.0000 0.0000
S1 0.0000 0.0000 0.5000
S2 0.0000 0.5000 0.0000
Ga1 0.5000 0.5000 0.5000
N1 0.5000 0.0000 0.0000

Results
Energy relative to the elements, uncorrected, eV per atom: 0.028
SG: P4/mmm